Entry 1:
! PmTa2Se4I2 | Alexandria via LeMat-Bulk | GGA-PBE | optimized geometry; values from VASP
&SYSTEM
  ibrav = 0, nat = 9, ntyp = 4
/
ATOMIC_SPECIES
Pm 145.00 Pm.upf
Ta 180.95 Ta.upf
Se 78.96 Se.upf
I 126.90 I.upf
CELL_PARAMETERS angstrom
3.652 0.000 0.000
-1.826 3.163 0.000
0.000 0.000 22.607
ATOMIC_POSITIONS angstrom
Pm 0.000 0.000 0.000
Ta 0.000 0.000 14.520
Ta 1.826 1.054 7.605
Se 0.000 0.000 5.976
Se 0.000 0.000 9.222
Se 1.826 1.054 12.901
Se 1.826 1.054 16.148
I 1.826 1.054 2.264
I 1.826 1.054 20.340
! Raw formation energy: -0.84 eV per atom
! Symmetry: P3m1, No. 156

=====

Entry 2:
! TbPmSeI | Alexandria via LeMat-Bulk | GGA-PBE | optimized geometry; values from VASP
&SYSTEM
  ibrav = 0, nat = 4, ntyp = 4
/
ATOMIC_SPECIES
Tb 158.93 Tb.upf
Pm 145.00 Pm.upf
Se 78.96 Se.upf
I 126.90 I.upf
CELL_PARAMETERS angstrom
3.478 -2.013 0.000
3.478 2.013 0.000
-2.308 0.000 8.066
ATOMIC_POSITIONS angstrom
Tb 0.000 0.000 0.000
Pm 4.641 0.000 3.362
Se 2.320 0.000 1.626
I 2.322 0.000 5.788
! Raw formation energy: -1.27 eV per atom
! Symmetry: Cm, No. 8

=====

Entry 3:
! PmYSeI | Alexandria via LeMat-Bulk | GGA-PBE | optimized geometry; values from VASP
&SYSTEM
  ibrav = 0, nat = 4, ntyp = 4
/
ATOMIC_SPECIES
Pm 145.00 Pm.upf
Y 88.91 Y.upf
Se 78.96 Se.upf
I 126.90 I.upf
CELL_PARAMETERS angstrom
3.490 -2.010 0.000
3.490 2.010 0.000
-2.337 0.000 8.038
ATOMIC_POSITIONS angstrom
Pm 0.000 0.000 0.000
Y 4.645 0.000 3.342
Se 2.322 0.000 1.736
I -0.009 0.000 5.616
! Raw formation energy: -1.27 eV per atom
! Symmetry: Cm, No. 8

=====

Entry 4:
! Pm5Si2I5 | Alexandria via LeMat-Bulk | GGA-PBE | optimized geometry; values from VASP
&SYSTEM
  ibrav = 0, nat = 12, ntyp = 3
/
ATOMIC_SPECIES
Pm 145.00 Pm.upf
Si 28.09 Si.upf
I 126.90 I.upf
CELL_PARAMETERS angstrom
7.330 -2.173 0.000
7.330 2.173 0.000
-3.855 0.000 13.162
ATOMIC_POSITIONS angstrom
Pm 0.000 0.000 0.000
Pm -0.107 0.000 5.214
Pm 4.559 0.000 2.410
Pm 6.246 0.000 10.752
Pm 10.912 0.000 7.948
Si -2.825 0.000 10.511
Si 13.630 0.000 2.651
I 1.201 0.000 8.396
I 1.224 0.000 12.385
I 5.402 0.000 6.581
I 9.581 0.000 0.778
I 9.604 0.000 4.766
! Raw formation energy: -0.77 eV per atom
! Symmetry: C2/m, No. 12

=====

Entry 5:
! Pm4Si2I3 | Alexandria via LeMat-Bulk | GGA-PBE | optimized geometry; values from VASP
&SYSTEM
  ibrav = 0, nat = 18, ntyp = 3
/
ATOMIC_SPECIES
Pm 145.00 Pm.upf
Si 28.09 Si.upf
I 126.90 I.upf
CELL_PARAMETERS angstrom
7.739 -6.800 0.000
7.739 6.800 0.000
-0.393 0.000 5.926
ATOMIC_POSITIONS angstrom
Pm 5.371 4.021 5.898
Pm 4.422 1.347 3.248
Pm 9.517 4.021 2.991
Pm 4.618 -1.347 0.285
Pm 10.466 1.347 5.642
Pm 5.567 -4.021 2.935
Pm 10.663 -1.347 2.679
Pm 9.714 -4.021 0.028
Si 4.483 1.491 0.327
Si 4.286 -1.491 3.290
Si 10.798 1.491 2.636
Si 10.601 -1.491 5.599
I 6.142 5.159 2.903
I 9.139 5.159 0.060
I 7.444 1.790 4.445
I 7.641 -1.790 1.482
I 5.945 -5.159 5.866
I 8.943 -5.159 3.023
! Raw formation energy: -0.76 eV per atom
! Excess energy over the best structure of this formula in the dataset: 300.9 meV/atom
! Symmetry: C2/c, No. 15

=====

Entry 6:
! Pm3SiI7 | Alexandria via LeMat-Bulk | GGA-PBE | optimized geometry; values from VASP
&SYSTEM
  ibrav = 0, nat = 11, ntyp = 3
/
ATOMIC_SPECIES
Pm 145.00 Pm.upf
Si 28.09 Si.upf
I 126.90 I.upf
CELL_PARAMETERS angstrom
8.975 0.000 0.000
-4.488 7.773 0.000
0.000 0.000 7.438
ATOMIC_POSITIONS angstrom
Pm 0.000 2.667 0.000
Pm -2.178 6.439 0.000
Pm 2.178 6.439 0.000
Si 0.000 5.182 1.528
I 0.000 0.000 5.573
I -2.190 3.917 5.596
I 2.205 1.273 1.723
I 2.190 3.917 5.596
I 0.000 7.711 5.596
I 6.771 1.273 1.723
I 4.488 5.227 1.723
! Raw formation energy: -1.02 eV per atom
! Symmetry: P3m1, No. 156

=====

- Number 5 is which compound?
  Pm4Si2I3